# TbNiTe2

TbNiTe2 after structural relaxation (PBE, Alexandria via LeMat-Bulk).

formation energy without anion corrections = -0.197 eV per atom
spin magnetization = 0.0 μB per cell

a = 9.2489 Å, b = 9.2489 Å, c = 9.2489 Å
α = 23.38°, β = 23.38°, γ = 23.38°
With the nearest neighbours (Å) after each atom.
Element x y z (fractional)
Tb 0.0000 0.0000 0.0000  2 Te 3.06
Ni 0.5000 0.5000 0.5000  6 Te 2.60
Te 0.1135 0.1135 0.1135  3 Ni 2.60
Te 0.8865 0.8865 0.8865  3 Ni 2.60